Computed, not measured: a geometry-optimized NdMg8Zn4 structure at the PBE level of DFT.

The volume comes out at 266 Å³ per cell. For the formation energy, the calculation gives -149 meV per atom. The density is 3.75 Mg/m³. Its symmetry is I4/mmm, No. 139.

abc: 5.6317 7.4290 7.4290
angles: 81.74 67.73 67.73
Last column: nearest neighbours and their distance in Å.
Positions (direct):
Nd1 0.0000 0.0000 0.0000  12 Mg 3.36-3.51, 8 Zn 3.71
Mg1 0.0000 0.3460 0.6540  4 Zn 2.96, 5 Mg 3.00-3.15
Mg2 0.0000 0.6540 0.3460  4 Zn 2.96, 5 Mg 3.00-3.15
Mg3 0.3460 0.6540 0.6540  4 Zn 2.96, 5 Mg 3.00-3.15
Mg4 0.6540 0.3460 0.3460  4 Zn 2.96, 5 Mg 3.00-3.15
Mg5 0.5000 0.7845 0.2155  4 Zn 2.83, 6 Mg 2.96-3.15
Mg6 0.5000 0.2155 0.7845  4 Zn 2.83, 6 Mg 2.96-3.15
Mg7 0.2845 0.2155 0.2155  4 Zn 2.83, 6 Mg 2.96-3.15
Mg8 0.7155 0.7845 0.7845  4 Zn 2.83, 6 Mg 2.96-3.15
Zn1 0.0000 0.0000 0.5000  2 Zn 2.82, 8 Mg 2.83-2.96
Zn2 0.5000 0.0000 0.5000  2 Zn 2.82, 8 Mg 2.83-2.96
Zn3 0.0000 0.5000 0.0000  2 Zn 2.82, 8 Mg 2.83-2.96
Zn4 0.5000 0.5000 0.0000  2 Zn 2.82, 8 Mg 2.83-2.96

=====

Computed, not measured: a geometry-optimized Pr6Nd3Dy2Tm structure at the PBE level of DFT.

The volume comes out at 415 Å³ per cell. For the formation energy, the calculation gives 15 meV per atom. The density is 7.09 Mg/m³. Its symmetry is C2/m, No. 12.

abc: 6.3575 6.3575 12.0452
angles: 95.04 95.04 120.03
Last column: nearest neighbours and their distance in Å.
Positions (direct):
Pr1 0.9175 0.5847 0.7547  2 Dy 3.60, 1 Tm 3.60, 6 Pr 3.66-3.67, 3 Nd 3.69
Pr2 0.7496 0.7496 0.2456  1 Tm 3.60, 2 Dy 3.60, 6 Pr 3.66-3.67, 3 Nd 3.68-3.69
Pr3 0.0825 0.4153 0.2453  2 Dy 3.60, 1 Tm 3.60, 6 Pr 3.66-3.67, 3 Nd 3.69
Pr4 0.5847 0.9175 0.7547  2 Dy 3.60, 1 Tm 3.60, 6 Pr 3.66-3.67, 3 Nd 3.69
Pr5 0.2504 0.2504 0.7544  1 Tm 3.60, 2 Dy 3.60, 6 Pr 3.66-3.67, 3 Nd 3.68-3.69
Pr6 0.4153 0.0825 0.2453  2 Dy 3.60, 1 Tm 3.60, 6 Pr 3.66-3.67, 3 Nd 3.69
Nd1 0.1667 0.8333 0.5000  6 Nd 3.67, 6 Pr 3.68-3.69
Nd2 0.8333 0.1667 0.5000  6 Nd 3.67, 6 Pr 3.68-3.69
Nd3 0.5000 0.5000 0.5000  6 Nd 3.67, 6 Pr 3.69
Dy1 0.3333 0.6667 0.0000  6 Pr 3.60, 3 Tm 3.67, 3 Dy 3.67
Dy2 0.6667 0.3333 0.0000  6 Pr 3.60, 3 Tm 3.67, 3 Dy 3.67
Tm1 0.0000 0.0000 0.0000  6 Pr 3.60, 6 Dy 3.67

=====

Computed, not measured: a geometry-optimized LaDyUO6 structure at the PBE level of DFT.

The volume comes out at 292 Å³ per cell. The formation energy without anion corrections is -3.3786 eV per atom. The density is 7.23 Mg/m³. Its symmetry is P-31c, No. 163.

abc: 5.8431 5.8431 9.8722
angles: 90.00 90.00 120.00
Last column: nearest neighbours and their distance in Å.
Positions (direct):
La1 0.0000 0.0000 0.0000  6 O 2.48
La2 0.0000 0.0000 0.5000  6 O 2.48
Dy1 0.3333 0.6667 0.2500  6 O 2.28
Dy2 0.6667 0.3333 0.7500  6 O 2.28
U1 0.6667 0.3333 0.2500  6 O 2.10
U2 0.3333 0.6667 0.7500  6 O 2.10
O1 0.6572 0.6344 0.1385  1 U 2.10, 1 Dy 2.28
O2 0.9772 0.3428 0.1385  1 U 2.10, 1 Dy 2.28
O3 0.3428 0.9772 0.6385  1 U 2.10, 1 Dy 2.28
O4 0.0228 0.6572 0.8615  1 U 2.10, 1 Dy 2.28
O5 0.3656 0.3428 0.3615  1 U 2.10, 1 Dy 2.28
O6 0.9772 0.6344 0.3615  1 U 2.10, 1 Dy 2.28
O7 0.6344 0.9772 0.8615  1 U 2.10, 1 Dy 2.28
O8 0.6572 0.0228 0.3615  1 U 2.10, 1 Dy 2.28
O9 0.0228 0.3656 0.6385  1 U 2.10, 1 Dy 2.28
O10 0.3656 0.0228 0.1385  1 U 2.10, 1 Dy 2.28
O11 0.6344 0.6572 0.6385  1 U 2.10, 1 Dy 2.28
O12 0.3428 0.3656 0.8615  1 U 2.10, 1 Dy 2.28

=====

Computed, not measured: a geometry-optimized TlTeRu2 structure at the PBE level of DFT.

The volume comes out at 72 Å³ per cell. The formation energy without anion corrections is 0.4092 eV per atom. The density is 12.25 Mg/m³. Its symmetry is P4/mmm, No. 123. The calculation puts the energy above the lowest structure with this stoichiometry at 3.4 kJ/mol of atoms.

abc: 3.2052 3.2052 7.0473
angles: 90.00 90.00 89.98
Last column: nearest neighbours and their distance in Å.
Positions (direct):
Ru1 0.0000 0.0000 0.0294  4 Te 2.75, 4 Tl 3.00
Ru2 0.0000 0.0000 0.4706  4 Te 2.75, 4 Tl 3.00
Te1 0.5000 0.5000 0.2500  8 Ru 2.75
Tl1 0.5000 0.5000 0.7500  8 Ru 3.00, 4 Tl 3.21

=====

Computed, not measured: a geometry-optimized AlCu3Pt structure at the PBE level of DFT.

The volume comes out at 82 Å³ per cell. For the formation energy, the calculation gives 773 meV per atom. The density is 8.39 Mg/m³. Its symmetry is Pm-3m, No. 221. The calculation puts the energy above the lowest structure with this stoichiometry at 0.0 kJ/mol of atoms.

abc: 4.3391 4.3391 4.3391
angles: 90.00 90.00 90.00
Last column: nearest neighbours and their distance in Å.
Positions (direct):
Cu1 0.0000 0.5000 0.0000  2 Al 2.17
Cu2 0.0000 0.0000 0.5000  2 Al 2.17
Cu3 0.5000 0.0000 0.0000  2 Al 2.17
Pt1 0.5000 0.5000 0.5000  12 Cu 3.07
Al1 0.0000 0.0000 0.0000  6 Cu 2.17

=====

Computed, not measured: a geometry-optimized ZrTcTe structure at the PBE level of DFT.

The volume comes out at 119 Å³ per cell. The formation energy without anion corrections is -0.0995 eV per atom. The density is 8.85 Mg/m³. Its symmetry is Cmmm, No. 65. The calculation puts the energy above the lowest structure with this stoichiometry at 16.1 kJ/mol of atoms.

abc: 4.6732 3.3098 10.8563
angles: 90.00 90.00 134.91
Last column: nearest neighbours and their distance in Å.
Positions (direct):
Tc1 0.6940 0.3880 0.0000  8 Zr 2.84-2.85
Tc2 0.1948 0.3896 0.5000  8 Te 2.88
Te1 0.6949 0.3897 0.3455  4 Tc 2.88, 4 Zr 3.17
Te2 0.6949 0.3897 0.6545  4 Tc 2.88, 4 Zr 3.17
Zr1 0.1941 0.3881 0.8512  4 Tc 2.84-2.85, 4 Te 3.17
Zr2 0.1941 0.3881 0.1488  4 Tc 2.84-2.85, 4 Te 3.17

=====

Computed, not measured: a geometry-optimized Cd2InSe2 structure at the PBE level of DFT.

The volume comes out at 142 Å³ per cell. The formation energy without anion corrections is -0.1995 eV per atom. The density is 5.82 Mg/m³. Its symmetry is I4/mmm, No. 139. The calculation puts the energy above the lowest structure with this stoichiometry at 0.0 kJ/mol of atoms.

abc: 4.5032 4.5032 7.6940
angles: 72.98 72.98 90.00
Last column: nearest neighbours and their distance in Å.
Positions (direct):
Cd1 0.7500 0.2500 0.5000  4 Se 2.82
Cd2 0.2500 0.7500 0.5000  4 Se 2.82
Se1 0.3706 0.3706 0.2587  4 Cd 2.82
Se2 0.6294 0.6294 0.7413  4 Cd 2.82
In1 0.0000 0.0000 0.0000  8 Se 3.66

=====

Computed, not measured: a geometry-optimized Cu13Ni2 structure at the PBE level of DFT.

The volume comes out at 176 Å³ per cell. For the formation energy, the calculation gives 0 meV per atom. The density is 8.89 Mg/m³. Its symmetry is P-1, No. 2. The calculation puts the energy above the lowest structure with this stoichiometry at 0.0 kJ/mol of atoms.

abc: 4.4310 5.6831 7.6322
angles: 107.04 73.67 96.89
Last column: nearest neighbours and their distance in Å.
Positions (direct):
Cu1 0.7338 0.5996 0.0662  12 Cu 2.55-2.57
Cu2 0.2662 0.4004 0.9338  12 Cu 2.55-2.57
Cu3 0.0000 0.0000 0.0000  12 Cu 2.54-2.57
Cu4 0.3319 0.9990 0.6649  3 Ni 2.51-2.55, 9 Cu 2.53-2.57
Cu5 0.6681 0.0010 0.3351  3 Ni 2.51-2.55, 9 Cu 2.53-2.57
Cu6 0.0648 0.5976 0.7298  2 Ni 2.53-2.54, 10 Cu 2.53-2.58
Cu7 0.9352 0.4024 0.2702  2 Ni 2.53-2.54, 10 Cu 2.53-2.58
Cu8 0.4001 0.6002 0.4014  9 Cu 2.52-2.57, 3 Ni 2.56-2.57
Cu9 0.5999 0.3998 0.5986  9 Cu 2.52-2.57, 3 Ni 2.56-2.57
Cu10 0.5337 0.7999 0.8646  11 Cu 2.53-2.58, 1 Ni 2.55
Cu11 0.4663 0.2001 0.1354  11 Cu 2.53-2.58, 1 Ni 2.55
Cu12 0.8003 0.1981 0.7979  2 Ni 2.52-2.54, 10 Cu 2.54-2.58
Cu13 0.1997 0.8019 0.2021  2 Ni 2.52-2.54, 10 Cu 2.54-2.58
Ni1 0.8680 0.8033 0.5332  11 Cu 2.51-2.57, 1 Ni 2.51
Ni2 0.1320 0.1967 0.4668  11 Cu 2.51-2.57, 1 Ni 2.51